No. 1
Pr4Ta | PBE-GGA | optimized geometry

Cell lengths 5.747, 5.747, 5.747 Å; angles 90.00, 90.00, 90.00 degrees
Space group Pm-3m (No. 221)
Inequivalent atoms, fractional coordinates:
Pr: 0.000 0.000 0.000 [1 per cell]
Pr: 0.000 0.500 0.500 [3 per cell]
Ta: 0.500 0.500 0.500 [1 per cell]

Output
The density comes out at 6.51 g cm⁻³. For the formation energy from the elements, the calculation gives 586.2 meV per atom.

=====

No. 2
PrTa4 | PBE-GGA | optimized geometry

Cell lengths 4.936, 4.936, 4.936 Å; angles 90.00, 90.00, 90.00 degrees
Space group Pm-3m (No. 221)
Inequivalent atoms, fractional coordinates:
Pr: 0.000 0.000 0.000 [1 per cell]
Ta: 0.000 0.000 0.500 [3 per cell]
Ta: 0.500 0.500 0.500 [1 per cell]

Output
The density comes out at 11.94 g cm⁻³. For the formation energy from the elements, the calculation gives 2592.2 meV per atom.

=====

No. 3
TbPr2Ta | PBE-GGA | optimized geometry

Cell lengths 3.3274, 3.3274, 36.3617 Å; angles 90.00, 90.00, 120.00 degrees
Space group R-3m (No. 166, hexagonal axes)
Inequivalent atoms, fractional coordinates:
Tb: 0.0000 0.0000 0.0000 [3 per cell]
Pr: 0.0000 0.0000 0.4186 [6 per cell]
Ta: 0.0000 0.0000 0.5000 [3 per cell]

Output
The density comes out at 8.88 g cm⁻³. For the formation energy from the elements, the calculation gives 680.9 meV per atom.

=====

No. 4
Tb2PrTa | PBE-GGA | optimized geometry

Cell lengths 3.3086, 3.3086, 35.7861 Å; angles 90.00, 90.00, 120.00 degrees
Space group R-3m (No. 166, hexagonal axes)
Inequivalent atoms, fractional coordinates:
Tb: 0.0000 0.0000 0.0814 [6 per cell]
Pr: 0.0000 0.0000 0.5000 [3 per cell]
Ta: 0.0000 0.0000 0.0000 [3 per cell]

Output
The density comes out at 9.39 g cm⁻³. For the formation energy from the elements, the calculation gives 643.7 meV per atom.

=====

No. 5
Pr2ThTa | PBE-GGA | optimized geometry

Cell lengths 3.3314, 3.3314, 36.5345 Å; angles 90.00, 90.00, 120.00 degrees
Space group R-3m (No. 166, hexagonal axes)
Inequivalent atoms, fractional coordinates:
Pr: 0.0000 0.0000 0.0813 [6 per cell]
Th: 0.0000 0.0000 0.5000 [3 per cell]
Ta: 0.0000 0.0000 0.0000 [3 per cell]

Output
The density comes out at 9.86 g cm⁻³. For the formation energy from the elements, the calculation gives 697.0 meV per atom.

=====

No. 6
PrTaTi2 | PBE-GGA | optimized geometry

Cell lengths 3.469, 3.469, 7.137 Å; angles 90.00, 90.00, 90.00 degrees
Space group P4/mmm (No. 123)
Inequivalent atoms, fractional coordinates:
Pr: 0.000 0.000 0.000 [1 per cell]
Ta: 0.000 0.000 0.500 [1 per cell]
Ti: 0.500 0.500 0.306 [2 per cell]

Output
The density comes out at 8.07 g cm⁻³. For the formation energy from the elements, the calculation gives 188.0 meV per atom.

=====

No. 7
Pr2TmTa | PBE-GGA | optimized geometry

Cell lengths 3.3260, 3.3260, 35.8855 Å; angles 90.00, 90.00, 120.00 degrees
Space group R-3m (No. 166, hexagonal axes)
Inequivalent atoms, fractional coordinates:
Pr: 0.0000 0.0000 0.0826 [6 per cell]
Tm: 0.0000 0.0000 0.5000 [3 per cell]
Ta: 0.0000 0.0000 0.0000 [3 per cell]

Output
The density comes out at 9.15 g cm⁻³. For the formation energy from the elements, the calculation gives 668.6 meV per atom.

=====

No. 8
PrTm2Ta | PBE-GGA | optimized geometry

Cell lengths 3.2792, 3.2792, 35.3548 Å; angles 90.00, 90.00, 120.00 degrees
Space group R-3m (No. 166, hexagonal axes)
Inequivalent atoms, fractional coordinates:
Pr: 0.0000 0.0000 0.0000 [3 per cell]
Tm: 0.0000 0.0000 0.4178 [6 per cell]
Ta: 0.0000 0.0000 0.5000 [3 per cell]

Output
The density comes out at 9.98 g cm⁻³. For the formation energy from the elements, the calculation gives 618.4 meV per atom.

=====

No. 9
PrY2Ta | PBE-GGA | optimized geometry

Cell lengths 3.3159, 3.3159, 35.7741 Å; angles 90.00, 90.00, 120.00 degrees
Space group R-3m (No. 166, hexagonal axes)
Inequivalent atoms, fractional coordinates:
Pr: 0.0000 0.0000 0.0000 [3 per cell]
Y: 0.0000 0.0000 0.4183 [6 per cell]
Ta: 0.0000 0.0000 0.5000 [3 per cell]

Output
The density comes out at 7.31 g cm⁻³. For the formation energy from the elements, the calculation gives 654.9 meV per atom.

=====

No. 10
PrZr2Ta | PBE-GGA | optimized geometry

Cell lengths 3.1912, 3.1912, 33.6026 Å; angles 90.00, 90.00, 120.00 degrees
Space group R-3m (No. 166, hexagonal axes)
Inequivalent atoms, fractional coordinates:
Pr: 0.0000 0.0000 0.0000 [3 per cell]
Zr: 0.0000 0.0000 0.0958 [6 per cell]
Ta: 0.0000 0.0000 0.5000 [3 per cell]

Output
The density comes out at 8.48 g cm⁻³. As for the energy above the most stable polymorph in this dataset: 165 meV per atom. For the formation energy from the elements, the calculation gives 344.3 meV per atom.

=====

No. 11
PrZr2Ta | PBE-GGA | optimized geometry

Cell lengths 3.516, 3.516, 7.946 Å; angles 90.00, 90.00, 90.00 degrees
Space group P4/mmm (No. 123)
Inequivalent atoms, fractional coordinates:
Pr: 0.000 0.000 0.000 [1 per cell]
Zr: 0.500 0.500 0.299 [2 per cell]
Ta: 0.000 0.000 0.500 [1 per cell]

Output
The density comes out at 8.52 g cm⁻³. As for the energy above the most stable polymorph in this dataset: 0 meV per atom. For the formation energy from the elements, the calculation gives 179.3 meV per atom.

=====

No. 12
Tb2Pr7 | PBE-GGA | optimized geometry

Cell lengths 10.0897, 10.0897, 3.6077 Å; angles 90.00, 90.00, 120.00 degrees
Space group P-62m (No. 189)
Inequivalent atoms, fractional coordinates:
Tb: 0.3333 0.6667 0.0000 [2 per cell]
Pr: 0.0000 0.0000 0.5000 [1 per cell]
Pr: 0.0000 0.3602 0.5000 [3 per cell]
Pr: 0.0000 0.6900 0.0000 [3 per cell]

Output
The density comes out at 6.81 g cm⁻³. As for the energy above the most stable polymorph in this dataset: 23 meV per atom. For the formation energy from the elements, the calculation gives 37.9 meV per atom.

=====

No. 13
Tb5Pr6 | PBE-GGA | optimized geometry

Cell lengths 10.434, 13.547, 6.161 Å; angles 90.00, 117.93, 90.00 degrees
Space group C2/m (No. 12)
Inequivalent atoms, fractional coordinates:
Tb: 0.000 0.000 0.000 [2 per cell]
Tb: 0.000 0.131 0.500 [4 per cell]
Tb: 0.000 0.266 0.000 [4 per cell]
Pr: 0.182 0.500 0.081 [4 per cell]
Pr: 0.185 0.361 0.605 [8 per cell]

Output
The density comes out at 7.08 g cm⁻³. For the formation energy from the elements, the calculation gives 120.8 meV per atom.

=====

No. 14
Tb3Pr2 | PBE-GGA | optimized geometry

Cell lengths 11.439, 5.123, 8.100 Å; angles 90.00, 134.85, 90.00 degrees
Space group C2/m (No. 12)
Inequivalent atoms, fractional coordinates:
Tb: 0.000 0.000 0.000 [2 per cell]
Tb: 0.102 0.500 0.402 [4 per cell]
Pr: 0.201 0.000 0.800 [4 per cell]

Output
The density comes out at 7.49 g cm⁻³. For the formation energy from the elements, the calculation gives 18.6 meV per atom.

=====

No. 15
Tb3Pr | PBE-GGA | optimized geometry

Cell lengths 8.106, 8.106, 8.106 Å; angles 90.00, 90.00, 90.00 degrees
Space group Fm-3m (No. 225)
Inequivalent atoms, fractional coordinates:
Tb: 0.000 0.000 0.000 [4 per cell]
Tb: 0.250 0.250 0.250 [8 per cell]
Pr: 0.000 0.000 0.500 [4 per cell]

Output
The density comes out at 7.70 g cm⁻³. As for the energy above the most stable polymorph in this dataset: 121 meV per atom. For the formation energy from the elements, the calculation gives 137.2 meV per atom.

=====

No. 16
Tb3Pr7 | PBE-GGA | optimized geometry

Cell lengths 11.3660, 11.3660, 6.3091 Å; angles 90.00, 90.00, 120.00 degrees
Space group P6_3mc (No. 186)
Inequivalent atoms, fractional coordinates:
Tb: 0.2191 0.4382 0.0000 [6 per cell]
Pr: 0.0541 0.5271 0.6178 [6 per cell]
Pr: 0.1168 0.2336 0.4878 [6 per cell]
Pr: 0.3333 0.6667 0.4149 [2 per cell]

Output
The density comes out at 6.88 g cm⁻³. As for the energy above the most stable polymorph in this dataset: 151 meV per atom. For the formation energy from the elements, the calculation gives 164.4 meV per atom.

=====

No. 17
Tb3Pr | PBE-GGA | optimized geometry

Cell lengths 3.662, 5.771, 6.324 Å; angles 90.00, 90.00, 90.00 degrees
Space group Pmm2 (No. 25)
Inequivalent atoms, fractional coordinates:
Tb: 0.000 0.000 0.000 [1 per cell]
Tb: 0.000 0.500 0.333 [1 per cell]
Tb: 0.500 0.500 0.834 [1 per cell]
Pr: 0.500 0.000 0.498 [1 per cell]

Output
The density comes out at 7.67 g cm⁻³. As for the energy above the most stable polymorph in this dataset: 11 meV per atom. For the formation energy from the elements, the calculation gives 27.2 meV per atom.

=====

No. 18
Tb5Pr | PBE-GGA | optimized geometry

Cell lengths 11.354, 5.063, 7.176 Å; angles 90.00, 108.45, 90.00 degrees
Space group C2/m (No. 12)
Inequivalent atoms, fractional coordinates:
Tb: 0.000 0.000 0.000 [2 per cell]
Tb: 0.167 0.500 0.332 [4 per cell]
Tb: 0.168 0.500 0.835 [4 per cell]
Pr: 0.000 0.000 0.500 [2 per cell]

Output
The density comes out at 7.94 g cm⁻³. As for the energy above the most stable polymorph in this dataset: 1 meV per atom. For the formation energy from the elements, the calculation gives 16.2 meV per atom.

=====

No. 19
TbPr2 | PBE-GGA | optimized geometry

Cell lengths 3.671, 3.671, 15.533 Å; angles 90.00, 90.00, 90.00 degrees
Space group I4/mmm (No. 139)
Inequivalent atoms, fractional coordinates:
Tb: 0.000 0.000 0.000 [2 per cell]
Pr: 0.000 0.000 0.335 [4 per cell]

Output
The density comes out at 6.99 g cm⁻³. As for the energy above the most stable polymorph in this dataset: 0 meV per atom. For the formation energy from the elements, the calculation gives 20.8 meV per atom.

=====

No. 20
TbPr4 | PBE-GGA | optimized geometry

Cell lengths 3.692, 3.692, 26.016 Å; angles 90.00, 90.00, 90.00 degrees
Space group I4/mmm (No. 139)
Inequivalent atoms, fractional coordinates:
Tb: 0.000 0.000 0.000 [2 per cell]
Pr: 0.000 0.000 0.199 [4 per cell]
Pr: 0.000 0.000 0.402 [4 per cell]

Output
The density comes out at 6.77 g cm⁻³. As for the energy above the most stable polymorph in this dataset: 6 meV per atom. For the formation energy from the elements, the calculation gives 17.3 meV per atom.